1.
16
Lattice="4.2561 2.4573 6.9386 -4.2561 2.4573 6.9386 0.0000 -4.9145 6.9386" Properties=species:S:1:pos:R:3 comment="La4Nd3DySe8 | Alexandria | GGA-PBE | relaxed" e_tot_ev_per_cell=-97.02 raw_formation_energy_mev_per_atom=-1908 spacegroup="No. 166" total_magnetization_mub_per_cell=0.0 pbc="T T T"
La 0.0000 0.0000 0.0000
La -2.1280 -1.2286 6.9386
La -2.1280 1.2286 13.8772
La 0.0000 2.4573 6.9386
Nd -4.2561 0.0000 10.4079
Nd -2.1280 1.2286 3.4693
Nd 2.1280 1.2286 3.4693
Dy 0.0000 0.0000 10.4079
Se 0.0000 0.0000 5.1720
Se -2.0830 -1.2026 12.0743
Se 0.0000 -2.4053 8.7415
Se -2.0830 1.2026 8.7415
Se 2.0830 -1.2026 12.0743
Se 0.0000 2.4053 12.0743
Se 2.0830 1.2026 8.7415
Se 0.0000 0.0000 15.6438


2.
5
Lattice="4.5487 0.0000 0.0000 0.0000 4.5487 0.0000 0.0000 0.0000 5.0427" Properties=species:S:1:pos:R:3 comment="MoPPtCl2 | Alexandria | GGA-PBE | relaxed" e_tot_ev_per_cell=-22.71 raw_formation_energy_mev_per_atom=652 spacegroup="No. 123" total_magnetization_mub_per_cell=0.0 pbc="T T T"
Mo 0.0000 0.0000 0.0000
P 0.0000 0.0000 2.5213
Pt 2.2743 2.2743 2.5213
Cl 0.0000 2.2743 0.0000
Cl 2.2743 0.0000 0.0000


3.
4
Lattice="0.0000 3.4720 3.4720 3.4720 0.0000 3.4720 3.4720 3.4720 0.0000" Properties=species:S:1:pos:R:3 comment="TmInCuHg | Alexandria | GGA-PBE | relaxed" e_tot_ev_per_cell=-12.58 spacegroup="No. 216" ef_ev_per_fu=-1.0 total_magnetization_mub_per_cell=0.0 pbc="T T T"
Tm 0.0000 0.0000 0.0000
In 3.4720 3.4720 3.4720
Cu 5.2080 5.2080 5.2080
Hg 1.7360 1.7360 1.7360


4.
4
Lattice="-1.7459 2.2214 3.9486 1.7459 -2.2214 3.9486 1.7459 2.2214 -3.9486" Properties=species:S:1:pos:R:3 comment="Mn2AlSe | Alexandria | GGA-PBE | relaxed" e_tot_ev_per_cell=-25.19 raw_formation_energy_mev_per_atom=93 spacegroup="No. 71" total_magnetization_mub_per_cell=6.6 pbc="T T T"
Mn 0.0000 0.0000 1.9752
Mn 0.0000 0.0000 5.9221
Al 0.0000 2.2214 0.0000
Se 1.7459 0.0000 0.0000


5.
30
Lattice="6.6508 0.0000 0.0000 0.0000 6.6508 0.0000 0.0000 0.0000 25.2143" Properties=species:S:1:pos:R:3 comment="Na12MgTl2 | Alexandria | GGA-PBE | relaxed" e_tot_ev_per_cell=-40.97 spacegroup="No. 125" ef_ev_per_fu=1.7 total_magnetization_mub_per_cell=0.0 pbc="T T T"
Na 0.0111 3.3365 2.4767
Na 0.0111 6.6398 22.7376
Na 0.4615 3.7870 14.2364
Na 0.4615 6.1893 10.9779
Na 1.6627 1.6627 5.0701
Na 1.6627 1.6627 8.1797
Na 1.6627 1.6627 17.0346
Na 1.6627 1.6627 20.1442
Na 2.8639 3.7870 10.9779
Na 2.8639 6.1893 14.2364
Na 3.3143 3.3365 22.7376
Na 3.3143 6.6398 2.4767
Na 3.3365 0.0111 22.7376
Na 3.3365 3.3143 2.4767
Na 3.7870 0.4615 10.9779
Na 3.7870 2.8639 14.2364
Na 4.9881 4.9881 5.0701
Na 4.9881 4.9881 8.1797
Na 4.9881 4.9881 17.0346
Na 4.9881 4.9881 20.1442
Na 6.1893 0.4615 14.2364
Na 6.1893 2.8639 10.9779
Na 6.6398 0.0111 2.4767
Na 6.6398 3.3143 22.7376
Mg 1.6627 4.9881 0.0000
Mg 4.9881 1.6627 0.0000
Tl 1.6627 4.9881 5.2769
Tl 1.6627 4.9881 19.9374
Tl 4.9881 1.6627 5.2769
Tl 4.9881 1.6627 19.9374


6.
9
Lattice="-4.9683 4.9683 2.5396 4.9683 -4.9683 2.5396 4.9683 4.9683 -2.5396" Properties=species:S:1:pos:R:3 comment="NdY4Al4 | Alexandria | GGA-PBE | relaxed" e_tot_ev_per_cell=-47.29 spacegroup="No. 87" ef_ev_per_fu=-1.7 total_magnetization_mub_per_cell=0.0 pbc="T T T"
Nd 0.0000 0.0000 0.0000
Y 6.4333 1.1583 0.0000
Y 1.1583 3.5033 0.0000
Y 3.8100 1.4650 2.5396
Y -1.4650 3.8100 2.5396
Al 4.2197 3.2190 0.0000
Al 1.7493 -0.7486 2.5396
Al 3.2190 5.7169 0.0000
Al 0.7486 1.7493 2.5396


7.
6
Lattice="4.8011 0.0000 0.0000 0.0000 1.5238 8.1057 0.0000 -1.5238 8.1057" Properties=species:S:1:pos:R:3 comment="Mg5Ru | Alexandria | GGA-PBE | relaxed" e_tot_ev_per_cell=-17.02 spacegroup="No. 38" ef_ev_per_fu=0.2 total_magnetization_mub_per_cell=0.7 pbc="T T T"
Mg 0.0000 0.0000 0.0000
Mg 0.0000 0.0000 4.7443
Mg 2.4006 0.0000 1.5887
Mg 2.4006 0.0000 6.7968
Mg 2.4006 0.0000 12.0959
Ru 0.0000 0.0000 10.5151


8.
19
Lattice="5.6182 3.2437 2.7157 -5.6182 3.2437 2.7157 0.0000 -6.4873 2.7157" Properties=species:S:1:pos:R:3 comment="ThSi6Ir12 | Alexandria | GGA-PBE | relaxed" e_tot_ev_per_cell=-156.17 raw_formation_energy_mev_per_atom=-520 spacegroup="No. 166" total_magnetization_mub_per_cell=0.0 pbc="T T T"
Th 0.0000 0.0000 0.0000
Si 0.0000 -2.8459 3.2097
Si -2.4646 1.4230 3.2097
Si -2.4646 -1.4230 4.9373
Si 2.4646 1.4230 3.2097
Si 2.4646 -1.4230 4.9373
Si 0.0000 2.8459 4.9373
Ir -2.0665 -3.5793 4.0735
Ir -4.1330 0.0000 4.0735
Ir -1.3666 -0.7890 2.8055
Ir 1.3666 -0.7890 2.8055
Ir 0.0000 1.5780 2.8055
Ir 2.0665 -3.5793 4.0735
Ir -2.0665 3.5793 4.0735
Ir 0.0000 -1.5780 5.3415
Ir -1.3666 0.7890 5.3415
Ir 1.3666 0.7890 5.3415
Ir 4.1330 0.0000 4.0735
Ir 2.0665 3.5792 4.0735


9.
3
Lattice="-1.4867 1.4867 5.7388 1.4867 -1.4867 5.7388 1.4867 1.4867 -5.7388" Properties=species:S:1:pos:R:3 comment="InReTc | Alexandria | GGA-PBE | relaxed" e_tot_ev_per_cell=-25.03 spacegroup="No. 107" ef_ev_per_fu=0.5 total_magnetization_mub_per_cell=0.0 pbc="T T T"
In 0.0000 0.0000 0.0000
Re 0.0000 0.0000 3.6008
Tc 0.0000 0.0000 7.8478


10.
16
Lattice="-4.1557 4.1557 7.5368 4.1557 -4.1557 7.5368 4.1557 4.1557 -7.5368" Properties=species:S:1:pos:R:3 comment="Ca5Cd2Bi | Alexandria | GGA-PBE | relaxed" e_tot_ev_per_cell=-38.34 spacegroup="No. 140" ef_ev_per_fu=-3.5 total_magnetization_mub_per_cell=0.0 pbc="T T T"
Ca 0.0000 0.0000 0.0000
Ca 5.5404 1.3847 -2.2187
Ca 1.3847 2.7709 -2.2187
Ca 5.5404 1.3847 2.2187
Ca 1.3847 2.7709 2.2187
Ca 0.0000 0.0000 7.5368
Ca 2.7709 1.3847 5.3182
Ca -1.3847 2.7709 5.3182
Ca 2.7709 1.3847 9.7555
Ca -1.3847 2.7709 9.7555
Cd 3.1051 1.0505 0.0000
Cd 3.1051 -1.0505 7.5368
Cd 1.0505 5.2062 0.0000
Cd 1.0505 3.1051 7.5368
Bi 0.0000 0.0000 3.7684
Bi 0.0000 0.0000 11.3053